# PBE Ba3NiOs, optimized geometry
# Total energy ... -3.7915 eV per atom
# Magnetic moment ... 0.11 μB/f.u.
# Polymorph energy (0 for the lowest one) ... 0 meV/atom
data_Ba3NiOs
_space_group_name_H-M_alt 'P m -3 m'
_space_group_IT_number 221
_space_group_name_Hall '-P 4 2 3'
_cell_length_a 5.8734
_cell_length_b 5.8734
_cell_length_c 5.8734
_cell_angle_alpha 90.00
_cell_angle_beta 90.00
_cell_angle_gamma 90.00
loop_
_atom_site_label
_atom_site_type_symbol
_atom_site_fract_x
_atom_site_fract_y
_atom_site_fract_z
Ba1 Ba 0.0000 0.0000 0.5000
Ni1 Ni 0.5000 0.5000 0.5000
Os1 Os 0.0000 0.0000 0.0000